Entry 1:
The following is a DFT calculation (SCAN) of LiSi2Ni at its PBEsol-relaxed geometry.

VASP energy = -9.92 eV per atom
energy above the lowest structure with this stoichiometry = 0 meV per atom
formation energy from raw total energies = -0.270 eV/atom
crystal system = tetragonal

Cell: 2.598 2.598 7.378 Å, 90.00 90.00 90.00°
Space group P4/mmm (No. 123)
Unique sites:
1 Li 0.000 0.000 0.000
2 Si 0.500 0.500 0.283
3 Ni 0.000 0.000 0.500

---

Entry 2:
The following is a DFT calculation (SCAN) of CuTcS2N at its PBEsol-relaxed geometry.

VASP energy = -14.64 eV per atom
formation energy from raw total energies = 1.118 eV/atom
crystal system = tetragonal

Cell: 4.565 4.565 3.444 Å, 90.00 90.00 90.00°
Space group P4/mmm (No. 123)
Unique sites:
1 Cu 0.000 0.000 0.000
2 Tc 0.500 0.500 0.500
3 S 0.000 0.500 0.000
4 N 0.000 0.000 0.500

---

Entry 3:
The following is a DFT calculation (SCAN) of ReOsPt2 at its PBEsol-relaxed geometry.

VASP energy = -70.47 eV per atom
energy above the lowest structure with this stoichiometry = 435 meV per atom
E_form = 0.3728 eV per atom
crystal system = tetragonal

Cell: 4.714 4.714 2.676 Å, 90.00 90.00 90.00°
Space group P4/mmm (No. 123)
Unique sites:
1 Re 0.000 0.000 0.000
2 Os 0.500 0.500 0.000
3 Pt 0.000 0.500 0.500

---

Entry 4:
The following is a DFT calculation (SCAN) of NiAgAs3 at its PBEsol-relaxed geometry.

VASP energy = -20.21 eV per atom
E_form = 1.4097 eV per atom
crystal system = cubic

Cell: 4.853 4.853 4.853 Å, 90.00 90.00 90.00°
Space group Pm-3m (No. 221)
Unique sites:
1 Ni 0.000 0.000 0.000
2 Ag 0.500 0.500 0.500
3 As 0.000 0.500 0.500

---

Entry 5:
The following is a DFT calculation (SCAN) of SrScCl2 at its PBEsol-relaxed geometry.

VASP energy = -14.39 eV per atom
energy above the lowest structure with this stoichiometry = 163 meV per atom
formation energy from raw total energies = -1.276 eV/atom
crystal system = tetragonal

Cell: 3.455 3.455 10.500 Å, 90.00 90.00 90.00°
Space group P4/mmm (No. 123)
Unique sites:
1 Sr 0.000 0.000 0.000
2 Sc 0.000 0.000 0.500
3 Cl 0.500 0.500 0.156

---

Entry 6:
The following is a DFT calculation (SCAN) of Li2TaAg at its PBEsol-relaxed geometry.

VASP energy = -25.24 eV per atom
energy above the lowest structure with this stoichiometry = 226 meV per atom
E_form = 0.4385 eV per atom
crystal system = orthorhombic

Cell: 5.609 9.111 2.599 Å, 90.00 90.00 90.00°
Space group Cmmm (No. 65)
Unique sites:
1 Li 0.250 0.250 0.000
2 Ta 0.000 0.000 0.500
3 Ag 0.000 0.500 0.500

---

Entry 7:
The following is a DFT calculation (SCAN) of BiAsSe2N at its PBEsol-relaxed geometry.

VASP energy = -28.89 eV per atom
formation energy from raw total energies = 0.757 eV/atom
crystal system = tetragonal

Cell: 4.454 4.454 4.559 Å, 90.00 90.00 90.00°
Space group P4/mmm (No. 123)
Unique sites:
1 Bi 0.000 0.000 0.000
2 As 0.500 0.500 0.000
3 Se 0.000 0.500 0.500
4 N 0.500 0.500 0.500

---

Entry 8:
The following is a DFT calculation (SCAN) of LiMgCd at its PBEsol-relaxed geometry.

VASP energy = -12.83 eV per atom
energy above the lowest structure with this stoichiometry = 28 meV per atom
E_form = -0.2360 eV per atom
crystal system = tetragonal

Cell: 3.425 3.425 9.601 Å, 90.00 90.00 90.00°
Space group I4mm (No. 107)
Unique sites:
1 Li 0.000 0.000 0.000
2 Mg 0.000 0.000 0.328
3 Cd 0.000 0.000 0.648

---

Entry 9:
The following is a DFT calculation (SCAN) of CaAl2Cd at its PBEsol-relaxed geometry.

VASP energy = -13.80 eV per atom
E_form = 0.0967 eV per atom
crystal system = tetragonal

Cell: 4.665 4.665 19.076 Å, 90.00 90.00 90.00°
Space group I-42d (No. 122)
Unique sites:
1 Ca 0.000 0.000 0.000
2 Al 0.124 0.250 0.625
3 Cd 0.000 0.000 0.500

---

Entry 10:
The following is a DFT calculation (SCAN) of ScTlIr3 at its PBEsol-relaxed geometry.

VASP energy = -58.44 eV per atom
E_form = 1.5419 eV per atom
crystal system = cubic

Cell: 4.663 4.663 4.663 Å, 90.00 90.00 90.00°
Space group Pm-3m (No. 221)
Unique sites:
1 Sc 0.000 0.000 0.000
2 Tl 0.500 0.500 0.500
3 Ir 0.000 0.000 0.500

---

Entry 11:
The following is a DFT calculation (SCAN) of Cd2TeRh at its PBEsol-relaxed geometry.

VASP energy = -33.15 eV per atom
formation energy from raw total energies = -0.189 eV/atom
crystal system = monoclinic

Cell: 9.540 3.097 6.601 Å, 90.00 111.99 90.00°
Space group Cm (No. 8)
Unique sites:
1 Cd 0.000 0.000 0.000
2 Cd 0.195 0.000 0.719
3 Te 0.335 0.500 0.297
4 Rh 0.444 0.000 0.632

---

Entry 12:
The following is a DFT calculation (SCAN) of SiPRu at its PBEsol-relaxed geometry.

VASP energy = -18.18 eV per atom
formation energy from raw total energies = 0.229 eV/atom
crystal system = hexagonal

Cell: 6.9332 6.9332 2.8719 Å, 90.00 90.00 120.00°
Space group P-62m (No. 189)
Unique sites:
1 Si 0.0000 0.0000 0.0000
2 Si 0.3333 0.6667 0.5000
3 P 0.0000 0.2834 0.5000
4 Ru 0.0000 0.5717 0.0000